PBE-GGA CrIr3Rh2, relaxed; formation energy from the elements = 0.162 eV per atom; magnetic moment = 1.84 μB/cell; crystal system = orthorhombic; density of states at the Fermi level = 1.279 states/eV/atom; E above lowest polymorph = 0 meV per atom
1.0
-1.195 -4.000 -2.518
1.682 2.349 -4.528
5.249 -3.619 3.258
Cr Ir Rh
2 6 4
Direct
0.750 0.349 0.699 Cr
0.250 0.651 0.301 Cr
0.750 0.851 0.702 Ir
0.250 0.149 0.298 Ir
0.750 0.934 0.365 Ir
0.250 0.066 0.635 Ir
0.750 0.431 0.365 Ir
0.250 0.569 0.635 Ir
0.000 0.743 0.000 Rh
0.500 0.257 0.000 Rh
0.000 0.257 0.000 Rh
0.500 0.743 0.000 Rh